A plane-wave DFT calculation with PBE+U was carried out for PmAg2WO6 after structural relaxation.

Computed properties:
**Magnetization**: 1.02 μB/cell
**Final energy**: -63.721 eV per cell

a b c (Å): 5.759 5.757 5.938
angles (deg): 61.00 61.07 60.03
Each line ends with the local moment (μB).
Fractional coordinates of all 10 atoms:
Pm (0.816, 0.816, 0.553)  -0.01
Ag (0.534, 0.533, 0.400)  0.22
Ag (0.062, 0.062, 0.813)  0.14
W (0.313, 0.314, 0.058)  -0.05
O (0.546, 0.205, 0.263)  0.07
O (0.205, 0.985, 0.265)  0.07
O (0.987, 0.545, 0.264)  0.07
O (0.434, 0.653, 0.798)  0.14
O (0.652, 0.114, 0.799)  0.14
O (0.112, 0.434, 0.801)  0.13